# Zr2SiPt2 (PBE, relaxed)
data_Zr2SiPt2
_space_group_name_H-M_alt 'P 4/m b m'
_space_group_IT_number 127
_space_group_name_Hall '-P 4 2ab'
_cell_length_a 7.265
_cell_length_b 7.265
_cell_length_c 3.548
_cell_angle_alpha 90.00
_cell_angle_beta 90.00
_cell_angle_gamma 90.00
loop_
_atom_site_label
_atom_site_type_symbol
_atom_site_fract_x
_atom_site_fract_y
_atom_site_fract_z
Zr1 Zr 0.173 0.327 0.000
Si1 Si 0.000 0.000 0.500
Pt1 Pt 0.132 0.632 0.500
# Formation energy from raw total energies, eV per atom: -0.802
# Raw total energy, eV per atom: -7.723